VASP calculation (PBE) on a relaxed CaSBr crystal.

- Formation energy (no corrections): -1.656 eV per atom

Cell: 7.198 4.768 10.982 Å, 90.00 103.66 90.00°
Fractional positions:
Ca: 0.164 0.000 0.311
Ca: 0.336 0.500 0.689
Ca: 0.664 0.500 0.311
Ca: 0.836 0.000 0.689
S: 0.061 0.500 0.421
S: 0.439 0.000 0.579
S: 0.561 0.000 0.421
S: 0.939 0.500 0.579
Br: 0.244 0.000 0.828
Br: 0.256 0.500 0.172
Br: 0.744 0.500 0.828
Br: 0.756 0.000 0.172

=====

VASP calculation (PBE) on a relaxed CaS4Br crystal.

- Formation energy (no corrections): -0.698 eV per atom

Cell: 4.355 7.055 11.795 Å, 94.30 93.23 96.53°
Fractional positions:
Ca: 0.203 0.069 0.169
Ca: 0.797 0.931 0.831
S: 0.072 0.544 0.920
S: 0.168 0.539 0.433
S: 0.283 0.818 0.967
S: 0.378 0.316 0.405
S: 0.622 0.684 0.595
S: 0.717 0.182 0.033
S: 0.832 0.461 0.567
S: 0.928 0.456 0.080
Br: 0.302 0.082 0.706
Br: 0.698 0.918 0.294

=====

VASP calculation (PBE) on a relaxed CaSBr3 crystal.

- Polymorph energy (0 for the lowest one): 0 meV per atom
- Formation energy (no corrections): -0.521 eV per atom

Cell: 5.680 5.680 5.680 Å, 90.00 90.00 90.00°
Fractional positions:
Ca: 0.000 0.000 0.000
S: 0.500 0.500 0.500
Br: 0.000 0.000 0.500
Br: 0.000 0.500 0.000
Br: 0.500 0.000 0.000

=====

VASP calculation (PBE) on a relaxed CaS3Br crystal.

- Polymorph energy (0 for the lowest one): 291 meV per atom
- Formation energy (no corrections): 0.300 eV per atom

Cell: 5.462 5.462 5.462 Å, 90.00 90.00 90.00°
Fractional positions:
Ca: 0.000 0.000 0.000
S: 0.000 0.000 0.500
S: 0.000 0.500 0.000
S: 0.500 0.000 0.000
Br: 0.500 0.500 0.500

=====

VASP calculation (PBE) on a relaxed Ca2SBr2 crystal.

- Formation energy (no corrections): -1.859 eV per atom

Cell: 7.426 7.426 9.131 Å, 112.59 112.59 47.17°
Fractional positions:
Ca: 0.021 0.021 0.314
Ca: 0.317 0.317 0.893
Ca: 0.683 0.683 0.107
Ca: 0.979 0.979 0.686
S: 0.151 0.151 0.622
S: 0.849 0.849 0.378
Br: 0.158 0.158 0.057
Br: 0.488 0.488 0.779
Br: 0.512 0.512 0.221
Br: 0.842 0.842 0.943

=====

VASP calculation (PBE) on a relaxed Ca7SBr12 crystal.

- Formation energy (no corrections): -2.028 eV per atom

Cell: 9.356 9.356 9.356 Å, 107.10 107.10 107.10°
Fractional positions:
Ca: 0.000 0.000 0.000
Ca: 0.159 0.381 0.471
Ca: 0.381 0.471 0.159
Ca: 0.471 0.159 0.381
Ca: 0.529 0.841 0.619
Ca: 0.619 0.529 0.841
Ca: 0.841 0.619 0.529
S: 0.500 0.500 0.500
Br: 0.048 0.342 0.129
Br: 0.129 0.048 0.342
Br: 0.186 0.714 0.573
Br: 0.286 0.427 0.814
Br: 0.342 0.129 0.048
Br: 0.427 0.814 0.286
Br: 0.573 0.186 0.714
Br: 0.658 0.871 0.952
Br: 0.714 0.573 0.186
Br: 0.814 0.286 0.427
Br: 0.871 0.952 0.658
Br: 0.952 0.658 0.871

=====

VASP calculation (PBE) on a relaxed CaS2Br2 crystal.

- Polymorph energy (0 for the lowest one): 0 meV per atom
- Formation energy (no corrections): -0.736 eV per atom

Cell: 7.302 7.302 4.856 Å, 90.00 90.00 90.00°
Fractional positions:
Ca: 0.000 0.000 0.000
Ca: 0.500 0.500 0.000
S: 0.094 0.406 0.000
S: 0.406 0.906 0.000
S: 0.594 0.094 0.000
S: 0.906 0.594 0.000
Br: 0.241 0.741 0.500
Br: 0.259 0.241 0.500
Br: 0.741 0.759 0.500
Br: 0.759 0.259 0.500

=====

VASP calculation (PBE) on a relaxed Ca5S4Br crystal.

- Formation energy (no corrections): -1.983 eV per atom

Cell: 10.795 10.795 10.795 Å, 158.30 149.15 38.03°
Fractional positions:
Ca: 0.000 0.000 0.000
Ca: 0.199 0.199 0.000
Ca: 0.387 0.387 0.000
Ca: 0.613 0.613 0.000
Ca: 0.801 0.801 0.000
S: 0.098 0.598 0.500
S: 0.297 0.797 0.500
S: 0.703 0.203 0.500
S: 0.902 0.402 0.500
Br: 0.500 0.000 0.500